(1)
The following is a GGA-PBE calculation of an optimized crystal structure of Al4FeAg, from the Alexandria database.

Computed properties:
Offset from the most stable computed form (kJ/mol of formula units): 198

Cell: 7.2658 7.2658 7.2658 Å, 90.00 90.00 90.00°
Last column: nearest neighbours and their distance in Å.
Space group F-43m (No. 216)
Asymmetric unit:
Al1 0.1247 0.1247 0.1247  6 Al 2.56-2.57
Fe1 0.2500 0.2500 0.7500  12 Al 3.01, 4 Ag 3.15
Ag1 0.0000 0.0000 0.5000  12 Al 3.01, 4 Fe 3.15

---

(2)
The following is a GGA-PBE calculation of an optimized crystal structure of ErMnCuRu, from the Alexandria database.

Cell: 6.4367 6.4367 6.4367 Å, 90.00 90.00 90.00°
Last column: nearest neighbours and their distance in Å.
Space group F-43m (No. 216)
Asymmetric unit:
Er1 0.0000 0.0000 0.0000  4 Cu 2.79, 4 Ru 2.79
Mn1 0.0000 0.0000 0.5000  4 Ru 2.79, 4 Cu 2.79
Cu1 0.2500 0.2500 0.7500  4 Mn 2.79, 4 Er 2.79
Ru1 0.2500 0.2500 0.2500  4 Er 2.79, 4 Mn 2.79

---

Formation energy from the elements, respectively: 0.272 -0.018 eV per atom.